# 1
A relaxed TbPr5 crystal, computed with PBE.

Cell: 5.2295 11.0491 7.3675 Å, 90.00 90.00 90.00°
Space group Pmmn (No. 59, origin choice 2)
Asymmetric unit:
Tb 0.2500 0.2500 0.1233 x2
Pr 0.2500 0.2500 0.6260 x2
Pr 0.2500 0.5831 0.1237 x4
Pr 0.2500 0.5849 0.6267 x4

Summary:
theoretical density: 6.7 Mg/m³
DOS at the Fermi energy: 8.96 states/eV/f.u.
total magnetization: 0.000 μB per cell
E_form: 0.013 eV per atom
uncorrected energy: -4.7420 eV per atom

# 2
A relaxed Ca2GdHg crystal, computed with PBE.

Cell: 4.8113 4.8113 5.3026 Å, 90.00 90.00 90.00°
Space group P4/mmm (No. 123)
Asymmetric unit:
Ca 0.0000 0.5000 0.0000 x2
Gd 0.0000 0.0000 0.5000 x1
Hg 0.5000 0.5000 0.5000 x1

Summary:
energy relative to the lowest polymorph listed for this composition: 0.0611 eV per atom
theoretical density: 5.9 Mg/m³
DOS at the Fermi energy: 4.84 states/eV/f.u.
total magnetization: 7.793 μB per cell
E_form: -0.143 eV per atom
uncorrected energy: -4.7391 eV per atom

Which of these has the lowest E_form? Ca2GdHg